Record 1
! NaAl2HgIr PBE optimized geometry; values from VASP
! D(E_F) in states/eV/atom: 0.76
! SG: P4/mmm
! Total moment in μB per atom: 0.000
! ΔE_f in eV/atom: 0.9364
&SYSTEM
  ibrav = 0, nat = 5, ntyp = 4
/
ATOMIC_SPECIES
Al 26.98 Al.upf
Ir 192.22 Ir.upf
Na 22.99 Na.upf
Hg 200.59 Hg.upf
CELL_PARAMETERS angstrom
4.929 0.000 0.000
0.000 5.219 0.000
0.000 0.000 4.929
ATOMIC_POSITIONS crystal
Al 0.500 0.000 0.000
Ir 0.000 0.500 0.000
Na 0.500 0.500 0.500
Al 0.000 0.000 0.500
Hg 0.000 0.000 0.000



Record 2
! NbAl2HgIr PBE optimized geometry; values from VASP
! D(E_F) in states/eV/atom: 0.96
! SG: P4/mmm
! Total moment in μB per atom: 0.298
! ΔE_f in eV/atom: 1.3983
&SYSTEM
  ibrav = 0, nat = 5, ntyp = 4
/
ATOMIC_SPECIES
Al 26.98 Al.upf
Nb 92.91 Nb.upf
Ir 192.22 Ir.upf
Hg 200.59 Hg.upf
CELL_PARAMETERS angstrom
4.686 0.000 0.000
0.000 5.040 0.000
0.000 0.000 4.686
ATOMIC_POSITIONS crystal
Al 0.500 0.000 0.000
Nb 0.500 0.500 0.500
Ir 0.000 0.500 0.000
Al 0.000 0.000 0.500
Hg 0.000 0.000 0.000



Record 3
! AlNiHg2Ir PBE optimized geometry; values from VASP
! D(E_F) in states/eV/atom: 1.07
! SG: P4/mmm
! Total moment in μB per atom: 0.000
! ΔE_f in eV/atom: 0.7577
&SYSTEM
  ibrav = 0, nat = 5, ntyp = 4
/
ATOMIC_SPECIES
Ni 58.69 Ni.upf
Al 26.98 Al.upf
Hg 200.59 Hg.upf
Ir 192.22 Ir.upf
CELL_PARAMETERS angstrom
-4.715 0.678 2.101
-1.955 -1.120 -4.027
-0.082 -5.005 1.432
ATOMIC_POSITIONS crystal
Ni 0.500 0.500 0.500
Al 0.000 0.500 0.000
Hg 0.000 0.000 0.500
Hg 0.500 0.000 0.000
Ir 0.000 0.000 0.000



Record 4
! KAlHg PBE optimized geometry; values from VASP
! D(E_F) in states/eV/atom: 0.49
! SG: Imm2
! E above lowest polymorph in meV per atom: 18
! Total moment in μB per atom: 0.000
! ΔE_f in eV/atom: 0.0607
&SYSTEM
  ibrav = 0, nat = 3, ntyp = 3
/
ATOMIC_SPECIES
Al 26.98 Al.upf
Hg 200.59 Hg.upf
K 39.10 K.upf
CELL_PARAMETERS angstrom
6.753 -0.006 -0.228
4.607 4.937 0.228
-5.639 -2.561 2.702
ATOMIC_POSITIONS crystal
Al 0.953 0.953 0.000
Hg 0.381 0.381 0.000
K 0.666 0.666 0.000



Record 5
! K2Al4Hg PBE optimized geometry; values from VASP
! D(E_F) in states/eV/atom: 0.65
! SG: I4/mmm
! Total moment in μB per atom: 0.000
! ΔE_f in eV/atom: 0.5556
&SYSTEM
  ibrav = 0, nat = 7, ntyp = 3
/
ATOMIC_SPECIES
Al 26.98 Al.upf
K 39.10 K.upf
Hg 200.59 Hg.upf
CELL_PARAMETERS angstrom
5.131 0.000 0.000
0.000 5.131 0.000
2.565 2.565 9.352
ATOMIC_POSITIONS crystal
Al 0.857 0.857 0.286
K 0.337 0.337 0.327
Al 0.143 0.143 0.714
Al 0.000 0.500 0.000
K 0.663 0.663 0.673
Al 0.500 0.000 0.000
Hg 0.000 0.000 0.000



Record 6
! KAlHg PBE optimized geometry; values from VASP
! D(E_F) in states/eV/atom: 0.85
! SG: F-43m
! E above lowest polymorph in meV per atom: 530
! Total moment in μB per atom: 0.000
! ΔE_f in eV/atom: 0.5725
&SYSTEM
  ibrav = 0, nat = 3, ntyp = 3
/
ATOMIC_SPECIES
K 39.10 K.upf
Hg 200.59 Hg.upf
Al 26.98 Al.upf
CELL_PARAMETERS angstrom
-4.039 -3.086 1.987
-0.581 -5.156 -1.693
1.133 -4.128 3.386
ATOMIC_POSITIONS crystal
K 0.750 0.750 0.750
Hg 0.500 0.500 0.500
Al 0.000 0.000 0.000



Record 7
! KAlHg PBE optimized geometry; values from VASP
! D(E_F) in states/eV/atom: 0.91
! SG: P-6m2
! E above lowest polymorph in meV per atom: 0
! Total moment in μB per atom: 0.000
! ΔE_f in eV/atom: 0.0423
&SYSTEM
  ibrav = 0, nat = 3, ntyp = 3
/
ATOMIC_SPECIES
Hg 200.59 Hg.upf
Al 26.98 Al.upf
K 39.10 K.upf
CELL_PARAMETERS angstrom
-2.381 3.634 -1.572
-2.195 -3.937 1.012
-0.720 1.682 4.982
ATOMIC_POSITIONS crystal
Hg 0.667 0.333 0.166
Al 0.000 0.000 0.167
K 0.333 0.667 0.667



Record 8
! K2AlHg2 PBE optimized geometry; values from VASP
! D(E_F) in states/eV/atom: 0.56
! SG: P4/mbm
! E above lowest polymorph in meV per atom: 196
! Total moment in μB per atom: 0.000
! ΔE_f in eV/atom: 0.1480
&SYSTEM
  ibrav = 0, nat = 10, ntyp = 3
/
ATOMIC_SPECIES
Hg 200.59 Hg.upf
K 39.10 K.upf
Al 26.98 Al.upf
CELL_PARAMETERS angstrom
-7.397 -6.622 1.961
5.566 -4.015 7.437
-1.362 2.171 2.191
ATOMIC_POSITIONS crystal
Hg 0.392 0.108 0.500
K 0.814 0.686 0.000
Al 0.000 0.000 0.000
K 0.686 0.186 0.000
K 0.314 0.814 0.000
Hg 0.608 0.892 0.500
Al 0.500 0.500 0.000
Hg 0.108 0.608 0.500
K 0.186 0.314 0.000
Hg 0.892 0.392 0.500